This record from the Alexandria database describes a relaxed structure of LiGdBi. The functional is PBE.

The raw total energy comes out at -20.94 eV per formula unit. For the theoretical density, the calculation gives 7751 kg/m³. The value obtained for the density of states at the Fermi level is 8.06 states/eV/cell. For the energy of formation, the calculation gives -8.187 kcal/mol of atoms. The value obtained for the magnetic moment is 16.21 μB/cell.

The structure belongs to space group I4mm (No. 107); the cell edges are 3.8854, 3.8854 and 10.5922 Å and the angles 90.00°, 90.00° and 90.00°. Symmetry generates all atoms from Li at (0.0000, 0.0000, 0.0000), Gd at (0.0000, 0.0000, 0.3020) and Bi at (0.0000, 0.0000, 0.6162).

---

This record from the Alexandria database describes a relaxed structure of BaLiHg2Pd. The functional is PBE.

The raw total energy comes out at -11.21 eV per formula unit. For the theoretical density, the calculation gives 8412 kg/m³. The value obtained for the density of states at the Fermi level is 1.99 states/eV/cell. For the energy of formation, the calculation gives -7.265 kcal/mol of atoms. The value obtained for the magnetic moment is 0.00 μB/cell.

The structure belongs to space group P4/mmm (No. 123); the cell edges are 5.0522, 5.0522 and 5.0411 Å and the angles 90.00°, 90.00° and 90.00°. Symmetry generates all atoms from Ba at (0.0000, 0.0000, 0.0000), Li at (0.5000, 0.5000, 0.5000), Hg at (0.0000, 0.5000, 0.5000) and Pd at (0.5000, 0.5000, 0.0000).

---

This record from the Alexandria database describes a relaxed structure of PmPrHo3Er. The functional is PBE.

The raw total energy comes out at -27.14 eV per formula unit. For the theoretical density, the calculation gives 8084 kg/m³. The value obtained for the density of states at the Fermi level is 49.35 states/eV/cell. For the energy of formation, the calculation gives 2.638 kcal/mol of atoms. The value obtained for the magnetic moment is 0.00 μB/cell.

The structure belongs to space group Cmcm (No. 63); the cell edges are 5.8922, 11.2086 and 11.7941 Å and the angles 90.00°, 90.00° and 90.00°. Symmetry generates all atoms from Pm at (0.0000, 0.0009, 0.2500), Pr at (0.0000, 0.5000, 0.0000), Ho at (0.0000, 0.1724, 0.5010), Ho at (0.0000, 0.3266, 0.2500) and Er at (0.0000, 0.3279, 0.7500).

---

This record from the Alexandria database describes a relaxed structure of CaPt2. The functional is PBE.

The raw total energy comes out at -15.84 eV per formula unit. For the theoretical density, the calculation gives 12154 kg/m³. The value obtained for the density of states at the Fermi level is 14.98 states/eV/cell. For the energy of formation, the calculation gives -13.526 kcal/mol of atoms. The value obtained for the magnetic moment is 0.00 μB/cell.

The structure belongs to space group C2/m (No. 12); the cell edges are 9.7676, 5.7751 and 8.3449 Å and the angles 90.00°, 92.57° and 90.00°. Symmetry generates all atoms from Ca at (0.1683, 0.0000, 0.0902), Ca at (0.2500, 0.2500, 0.5000), Pt at (0.0000, 0.0000, 0.5000), Pt at (0.0000, 0.5000, 0.5000), Pt at (0.0759, 0.2478, 0.7751) and Pt at (0.1666, 0.5000, 0.2091).

---

Question: Number 4 is which compound?
Answer: CaPt2